Record 1
Here is AlCu8Au2 after structural relaxation from Alexandria via LeMat-Bulk. Energies are from PBE-GGA.

## Properties
Energy of formation in eV/atom: 0.13
DOS(E_F) in states/eV per atom: 0.259
Mass density in kg/m3: 9310
E in eV per atom: -3.78
Crystal system: monoclinic

abc: 4.4320 6.6380 6.6380
angles: 60.45 79.08 79.08
Atoms (fractional coordinates):
1 Al 0.0000 0.0000 0.0000
2 Cu 0.7937 0.2567 0.6171
3 Cu 0.1040 0.7567 0.7567
4 Cu 0.7937 0.6171 0.2567
5 Cu 0.2063 0.3829 0.7433
6 Cu 0.2063 0.7433 0.3829
7 Cu 0.6666 0.6352 0.6352
8 Cu 0.3334 0.3648 0.3648
9 Cu 0.8960 0.2433 0.2433
10 Au 0.4595 0.1316 0.1316
11 Au 0.5405 0.8684 0.8684

---

Record 2
Here is AlCu5Au2 after structural relaxation from Alexandria via LeMat-Bulk. Energies are from PBE-GGA.

## Properties
Energy of formation in eV/atom: -0.10
DOS(E_F) in states/eV per atom: 0.402
Mass density in kg/m3: 11084
E in eV per atom: -3.95
Crystal system: tetragonal

abc: 4.3536 4.3536 6.6004
angles: 109.26 109.26 90.00
Atoms (fractional coordinates):
1 Al 0.0000 0.0000 0.0000
2 Au 0.7521 0.7521 0.5042
3 Au 0.2479 0.2479 0.4958
4 Cu 0.8877 0.3877 0.7755
5 Cu 0.3877 0.8877 0.7755
6 Cu 0.5000 0.5000 0.0000
7 Cu 0.6123 0.1123 0.2245
8 Cu 0.1123 0.6123 0.2245

---

Record 3
Here is Al2Cu3Au8 after structural relaxation from Alexandria via LeMat-Bulk. Energies are from PBE-GGA.

## Properties
Energy of formation in eV/atom: -0.12
DOS(E_F) in states/eV per atom: 0.350
Mass density in kg/m3: 13430
E in eV per atom: -3.66
Crystal system: monoclinic

abc: 5.5401 7.3908 6.6806
angles: 123.58 97.48 90.00
Atoms (fractional coordinates):
1 Au 0.1475 0.4115 0.8230
2 Au 0.1817 0.8067 0.6135
3 Au 0.4174 0.8180 0.2442
4 Au 0.4174 0.4262 0.2442
5 Au 0.5826 0.1820 0.7558
6 Au 0.8525 0.5885 0.1770
7 Au 0.5826 0.5738 0.7558
8 Au 0.8183 0.1933 0.3865
9 Cu 0.0000 0.1671 0.0000
10 Cu 0.5000 0.0000 0.0000
11 Cu 0.0000 0.8329 0.0000
12 Al 0.2764 0.1959 0.3919
13 Al 0.7236 0.8041 0.6081

---

Record 4
Here is AlCuAu after structural relaxation from Alexandria via LeMat-Bulk. Energies are from PBE-GGA.

## Properties
Energy of formation in eV/atom: -0.26
DOS(E_F) in states/eV per atom: 0.277
Mass density in kg/m3: 9934
E in eV per atom: -3.97
Crystal system: triclinic

abc: 4.6375 4.6466 7.0517
angles: 64.11 75.89 44.98
Atoms (fractional coordinates):
1 Au 0.5997 0.8619 0.2408
2 Au 0.4049 0.1414 0.7636
3 Al 0.3313 0.4766 0.3565
4 Al 0.6734 0.5268 0.6480
5 Cu 0.1419 0.7090 0.9343
6 Cu 0.8622 0.2941 0.0703

---

Record 5
Here is Al2CuAu after structural relaxation from Alexandria via LeMat-Bulk. Energies are from PBE-GGA.

## Properties
Energy of formation in eV/atom: -0.21
DOS(E_F) in states/eV per atom: 0.192
Mass density in kg/m3: 8633
E in eV per atom: -3.93
Crystal system: tetragonal

abc: 4.0487 4.0486 3.6902
angles: 90.00 90.00 90.00
Atoms (fractional coordinates):
1 Cu 0.0000 0.5000 0.5000
2 Al 0.0000 0.0000 0.0000
3 Al 0.5000 0.5000 0.0000
4 Au 0.5000 0.0000 0.5000

---

Record 6
Here is AlCuAu2 after structural relaxation from Alexandria via LeMat-Bulk. Energies are from PBE-GGA.

## Properties
Energy of formation in eV/atom: -0.13
DOS(E_F) in states/eV per atom: 0.412
Mass density in kg/m3: 12565
E in eV per atom: -3.73
Crystal system: cubic

abc: 4.4904 4.4904 4.4904
angles: 60.00 60.00 60.00
Atoms (fractional coordinates):
1 Al 0.5000 0.5000 0.5000
2 Au 0.0000 0.0000 0.0000
3 Au 0.2500 0.2500 0.2500
4 Cu 0.7500 0.7500 0.7500

---

Record 7
Here is Al2CuAu7 after structural relaxation from Alexandria via LeMat-Bulk. Energies are from PBE-GGA.

## Properties
Energy of formation in eV/atom: -0.18
DOS(E_F) in states/eV per atom: 0.320
Mass density in kg/m3: 13694
E in eV per atom: -3.63
Crystal system: tetragonal

abc: 4.2636 4.2636 10.4261
angles: 101.80 101.80 90.00
Atoms (fractional coordinates):
1 Au 0.2500 0.7500 0.5000
2 Au 0.4039 0.9039 0.8077
3 Au 0.5000 0.5000 0.0000
4 Au 0.5961 0.0961 0.1923
5 Au 0.7500 0.2500 0.5000
6 Au 0.9039 0.4039 0.8077
7 Au 0.0961 0.5961 0.1923
8 Al 0.3281 0.3281 0.6562
9 Al 0.6719 0.6719 0.3438
10 Cu 0.0000 0.0000 0.0000

---

Record 8
Here is AlCuAu2 after structural relaxation from Alexandria via LeMat-Bulk. Energies are from PBE-GGA.

## Properties
Energy of formation in eV/atom: -0.24
DOS(E_F) in states/eV per atom: 0.399
Mass density in kg/m3: 12844
E in eV per atom: -3.84
Crystal system: monoclinic

abc: 4.6595 5.4621 5.4621
angles: 65.18 84.20 84.20
Atoms (fractional coordinates):
1 Al 0.7860 0.3552 0.3552
2 Al 0.2140 0.6448 0.6448
3 Cu 0.2116 0.1425 0.1425
4 Cu 0.7884 0.8575 0.8575
5 Au 0.7187 0.8590 0.3609
6 Au 0.2813 0.6391 0.1410
7 Au 0.2813 0.1410 0.6391
8 Au 0.7187 0.3609 0.8590

---

Record 9
Here is Al2Cu4Au after structural relaxation from Alexandria via LeMat-Bulk. Energies are from PBE-GGA.

## Properties
Energy of formation in eV/atom: 0.52
DOS(E_F) in states/eV per atom: 0.335
Mass density in kg/m3: 6057
E in eV per atom: -3.36
Crystal system: tetragonal

abc: 4.7386 4.7386 7.0190
angles: 70.27 70.27 90.00
Atoms (fractional coordinates):
1 Cu 0.5000 0.0000 0.0000
2 Cu 0.7955 0.7955 0.4091
3 Cu 0.2045 0.2045 0.5909
4 Cu 0.0000 0.5000 0.0000
5 Al 0.6067 0.6067 0.7866
6 Al 0.3933 0.3933 0.2134
7 Au 0.0000 0.0000 0.0000

---

Record 10
Here is AlCu2Au8 after structural relaxation from Alexandria via LeMat-Bulk. Energies are from PBE-GGA.

## Properties
Energy of formation in eV/atom: -0.09
DOS(E_F) in states/eV per atom: 0.297
Mass density in kg/m3: 15542
E in eV per atom: -3.56
Crystal system: monoclinic

abc: 4.2738 6.5509 7.3359
angles: 108.94 106.94 90.00
Atoms (fractional coordinates):
1 Au 0.3992 0.5505 0.7984
2 Au 0.3232 0.0735 0.6464
3 Au 0.9551 0.2698 0.9102
4 Au 0.0449 0.7302 0.0898
5 Au 0.1470 0.2024 0.2941
6 Au 0.6768 0.9265 0.3536
7 Au 0.6008 0.4495 0.2016
8 Au 0.8530 0.7976 0.7059
9 Al 0.5000 0.0000 0.0000
10 Cu 0.7789 0.3626 0.5578
11 Cu 0.2211 0.6374 0.4422

---

Record 11
Here is AlCu4Au2 after structural relaxation from Alexandria via LeMat-Bulk. Energies are from PBE-GGA.

## Properties
Energy of formation in eV/atom: -0.10
DOS(E_F) in states/eV per atom: 0.281
Mass density in kg/m3: 10839
E in eV per atom: -3.91
Crystal system: orthorhombic

abc: 3.6541 5.3622 5.3622
angles: 79.87 90.00 90.00
Atoms (fractional coordinates):
1 Cu 0.5000 0.5000 0.0000
2 Cu 0.5000 0.0000 0.5000
3 Cu 0.0000 0.2717 0.2717
4 Cu 0.0000 0.7283 0.7283
5 Al 0.5000 0.5000 0.5000
6 Au 0.0000 0.2110 0.7890
7 Au 0.0000 0.7890 0.2110

---

Record 12
Here is AlCu2Au3 after structural relaxation from Alexandria via LeMat-Bulk. Energies are from PBE-GGA.

## Properties
Energy of formation in eV/atom: -0.09
DOS(E_F) in states/eV per atom: 0.221
Mass density in kg/m3: 12397
E in eV per atom: -3.71
Crystal system: monoclinic

abc: 3.1788 6.8297 10.2026
angles: 113.88 98.96 90.00
Atoms (fractional coordinates):
1 Au 0.2553 0.1848 0.5106
2 Au 0.5928 0.5193 0.1855
3 Au 0.0295 0.7702 0.0589
4 Au 0.4072 0.4807 0.8145
5 Au 0.7447 0.8152 0.4894
6 Au 0.9705 0.2298 0.9411
7 Cu 0.6989 0.3900 0.3978
8 Cu 0.9026 0.8034 0.8051
9 Cu 0.0974 0.1966 0.1949
10 Cu 0.3011 0.6100 0.6022
11 Al 0.3605 0.0374 0.7210
12 Al 0.6395 0.9626 0.2790

---

Record 13
Here is Al2CuAu4 after structural relaxation from Alexandria via LeMat-Bulk. Energies are from PBE-GGA.

## Properties
Energy of formation in eV/atom: -0.29
DOS(E_F) in states/eV per atom: 0.179
Mass density in kg/m3: 12612
E in eV per atom: -3.82
Crystal system: trigonal

abc: 4.4054 4.4054 7.5350
angles: 73.00 73.00 60.00
Atoms (fractional coordinates):
1 Al 0.7491 0.7491 0.7526
2 Al 0.2509 0.2509 0.2474
3 Au 0.1283 0.1283 0.6150
4 Au 0.6192 0.6192 0.1425
5 Au 0.3808 0.3808 0.8575
6 Au 0.8717 0.8717 0.3850
7 Cu 0.0000 0.0000 0.0000

---

Record 14
Here is Al2Cu3Au4 after structural relaxation from Alexandria via LeMat-Bulk. Energies are from PBE-GGA.

## Properties
Energy of formation in eV/atom: -0.22
DOS(E_F) in states/eV per atom: 0.265
Mass density in kg/m3: 12452
E in eV per atom: -3.87
Crystal system: triclinic

abc: 4.1923 4.4975 8.2919
angles: 83.94 89.60 62.45
Atoms (fractional coordinates):
1 Cu 0.0000 0.0000 0.0000
2 Cu 0.3382 0.3246 0.4610
3 Cu 0.6618 0.6754 0.5390
4 Al 0.6720 0.6548 0.2230
5 Al 0.3280 0.3452 0.7770
6 Au 0.9885 0.0250 0.6684
7 Au 0.6649 0.6705 0.8839
8 Au 0.3351 0.3295 0.1161
9 Au 0.0115 0.9750 0.3316

---

Record 15
Here is Al2CuAu after structural relaxation from Alexandria via LeMat-Bulk. Energies are from PBE-GGA.

## Properties
Energy of formation in eV/atom: -0.21
DOS(E_F) in states/eV per atom: 0.139
Mass density in kg/m3: 8567
E in eV per atom: -3.93
Crystal system: orthorhombic

abc: 4.1473 4.1473 3.5615
angles: 90.00 90.00 95.69
Atoms (fractional coordinates):
1 Al 0.5000 0.5000 0.0000
2 Al 0.0000 0.0000 0.0000
3 Au 0.5000 0.0000 0.5000
4 Cu 0.0000 0.5000 0.5000

---

Record 16
Here is AlCu2Au5 after structural relaxation from Alexandria via LeMat-Bulk. Energies are from PBE-GGA.

## Properties
Energy of formation in eV/atom: 0.15
DOS(E_F) in states/eV per atom: 0.355
Mass density in kg/m3: 10477
E in eV per atom: -3.39
Crystal system: orthorhombic

abc: 4.1759 8.1830 10.9268
angles: 90.00 90.00 104.78
Atoms (fractional coordinates):
1 Cu 0.8710 0.7420 0.0572
2 Cu 0.8710 0.7420 0.4428
3 Cu 0.1290 0.2580 0.5572
4 Cu 0.1290 0.2580 0.9428
5 Au 0.7688 0.5375 0.2500
6 Au 0.9745 0.9489 0.8766
7 Au 0.0255 0.0511 0.3766
8 Au 0.2687 0.5375 0.0786
9 Au 0.7313 0.4625 0.9214
10 Au 0.9745 0.9489 0.6234
11 Au 0.7313 0.4625 0.5786
12 Au 0.2687 0.5375 0.4214
13 Au 0.0255 0.0511 0.1234
14 Au 0.2312 0.4625 0.7500
15 Al 0.1594 0.3189 0.2500
16 Al 0.8406 0.6811 0.7500

---

Record 17
Here is AlCu8Au2 after structural relaxation from Alexandria via LeMat-Bulk. Energies are from PBE-GGA.

## Properties
Energy of formation in eV/atom: -0.09
DOS(E_F) in states/eV per atom: 0.320
Mass density in kg/m3: 10502
E in eV per atom: -4.00
Crystal system: triclinic

abc: 4.5906 4.5923 7.1157
angles: 95.22 90.04 100.34
Atoms (fractional coordinates):
1 Cu 0.6878 0.1024 0.3605
2 Cu 0.5895 0.5317 0.1771
3 Cu 0.2416 0.3652 0.4586
4 Cu 0.3122 0.8976 0.6395
5 Cu 0.4105 0.4683 0.8229
6 Cu 0.9544 0.7260 0.9098
7 Cu 0.0456 0.2740 0.0902
8 Cu 0.7584 0.6348 0.5414
9 Au 0.1394 0.8176 0.2752
10 Au 0.8606 0.1824 0.7248
11 Al 0.5000 0.0000 0.0000

---

Record 18
Here is Al6CuAu12 after structural relaxation from Alexandria via LeMat-Bulk. Energies are from PBE-GGA.

## Properties
Energy of formation in eV/atom: -0.20
DOS(E_F) in states/eV per atom: 0.290
Mass density in kg/m3: 12325
E in eV per atom: -3.67
Crystal system: trigonal

abc: 7.3079 7.3079 7.3079
angles: 103.91 103.91 103.91
Atoms (fractional coordinates):
1 Au 0.3683 0.8193 0.4863
2 Au 0.4863 0.3683 0.8193
3 Au 0.8520 0.3083 0.9761
4 Au 0.8193 0.4863 0.3683
5 Au 0.1807 0.5137 0.6317
6 Au 0.9761 0.8520 0.3083
7 Au 0.6917 0.0239 0.1480
8 Au 0.5137 0.6317 0.1807
9 Au 0.0239 0.1480 0.6917
10 Au 0.1480 0.6917 0.0239
11 Au 0.3083 0.9761 0.8520
12 Au 0.6317 0.1807 0.5137
13 Al 0.4480 0.2578 0.1737
14 Al 0.7422 0.8263 0.5520
15 Al 0.1737 0.4480 0.2578
16 Al 0.5520 0.7422 0.8263
17 Al 0.2578 0.1737 0.4480
18 Al 0.8263 0.5520 0.7422
19 Cu 0.0000 0.0000 0.0000

---

Record 19
Here is AlCuAu after structural relaxation from Alexandria via LeMat-Bulk. Energies are from PBE-GGA.

## Properties
Energy of formation in eV/atom: -0.17
DOS(E_F) in states/eV per atom: 0.305
Mass density in kg/m3: 10491
E in eV per atom: -3.87
Crystal system: trigonal

abc: 4.2890 4.2890 2.8564
angles: 90.00 90.00 120.00
Atoms (fractional coordinates):
1 Au 0.6667 0.3333 0.2929
2 Al 0.0000 0.0000 0.9874
3 Cu 0.3333 0.6667 0.7197

---

Record 20
Here is Al2Cu4Au after structural relaxation from Alexandria via LeMat-Bulk. Energies are from PBE-GGA.

## Properties
Energy of formation in eV/atom: -0.16
DOS(E_F) in states/eV per atom: 0.343
Mass density in kg/m3: 8705
E in eV per atom: -4.03
Crystal system: triclinic

abc: 4.2583 8.9562 9.1406
angles: 145.25 76.76 103.59
Atoms (fractional coordinates):
1 Al 0.3643 0.2762 0.0488
2 Al 0.3558 0.7639 0.5494
3 Al 0.6442 0.2361 0.4506
4 Al 0.6357 0.7238 0.9512
5 Cu 0.2277 0.8545 0.8997
6 Cu 0.9151 0.5586 0.2334
7 Cu 0.7694 0.6426 0.6031
8 Cu 0.4941 0.7271 0.2441
9 Cu 0.0849 0.4414 0.7666
10 Cu 0.7723 0.1455 0.1003
11 Cu 0.5059 0.2729 0.7559
12 Cu 0.2306 0.3574 0.3969
13 Au 0.0833 0.9359 0.2740
14 Au 0.9167 0.0641 0.7260